(1)
Compound: Cs2Rb13
Source: Alexandria via LeMat-Bulk
Functional: PBE
Structure: optimized geometry

It has space group P-1 (No. 2), with a = 9.196 Å, b = 12.882 Å, c = 12.932 Å, α = 65.96°, β = 82.01° and γ = 83.93°. The asymmetric unit holds Cs at (0.134, 0.302, 0.464), Rb at (0.000, 0.500, 0.000), Rb at (0.072, 0.897, 0.743), Rb at (0.197, 0.710, 0.192), Rb at (0.272, 0.103, 0.931), Rb at (0.346, 0.500, 0.672), Rb at (0.391, 0.905, 0.399) and Rb at (0.468, 0.300, 0.126).

Its formation energy is 0.006 eV/atom. The calculated total energy is -0.947 eV per atom. The polymorph energy (0 for the lowest one) comes out at 0.0 meV per atom.

***

(2)
Compound: Cs4Rb
Source: Alexandria via LeMat-Bulk
Functional: PBE
Structure: optimized geometry

It has space group I-42m (No. 121), with a = 10.074 Å, b = 10.074 Å, c = 11.843 Å, α = 90.00°, β = 90.00° and γ = 90.00°. The asymmetric unit holds Cs at (0.196, 0.196, 0.347) and Rb at (0.000, 0.000, 0.000).

Its formation energy is 0.054 eV/atom. The calculated total energy is -0.822 eV per atom. The polymorph energy (0 for the lowest one) comes out at 44.4 meV per atom.

***

Copy entry 2 word for word.
Compound: Cs4Rb
Source: Alexandria via LeMat-Bulk
Functional: PBE
Structure: optimized geometry

It has space group I-42m (No. 121), with a = 10.074 Å, b = 10.074 Å, c = 11.843 Å, α = 90.00°, β = 90.00° and γ = 90.00°. The asymmetric unit holds Cs at (0.196, 0.196, 0.347) and Rb at (0.000, 0.000, 0.000).

Its formation energy is 0.054 eV/atom. The calculated total energy is -0.822 eV per atom. The polymorph energy (0 for the lowest one) comes out at 44.4 meV per atom.

***

> Among the records above, which one has the lowest calculated total energy?

Cs2Rb13

***

> calculated total energy of number 2 (Cs4Rb)?

-0.822 eV per atom

***

> Look up the polymorph energy (0 for the lowest one) of the second one.

44.4 meV per atom